A relaxed structure of CaMnBeS2. Source: the Alexandria database, functional GGA-PBE.

Cell lengths 5.1430, 5.7424, 5.1430 Å; angles 90.00, 90.00, 90.00 degrees
Atoms (fractional coordinates):
S1 0.0000 0.0000 0.5000
Be1 0.5000 0.5000 0.5000
Mn1 0.0000 0.5000 0.0000
S2 0.5000 0.0000 0.0000
Ca1 0.0000 0.0000 0.0000

Results
DFT total energy ... -0.26532 Ry per atom
Formation energy from raw total energies ... 5.10 eV per formula unit
Space-group type ... P4/mmm